# MnCdOs2, relaxed, DFT PBE-GGA
data_MnCdOs2
_chemical_formula_sum 'Mn1 Cd1 Os2'
_cell_length_a 2.752
_cell_length_b 4.283
_cell_length_c 5.389
_cell_angle_alpha 90.00
_cell_angle_beta 104.40
_cell_angle_gamma 90.00
_symmetry_space_group_name_H-M 'P 1 2/m 1'
_symmetry_Int_Tables_number 10
_symmetry_space_group_name_Hall '-P 2y'
loop_
_atom_site_label
_atom_site_type_symbol
_atom_site_fract_x
_atom_site_fract_y
_atom_site_fract_z
Mn1 Mn 0.000 0.000 0.000
Cd1 Cd 0.500 0.000 0.500
Os1 Os 0.164 0.500 0.778
# total DFT energy (no corrections) = -7.628 eV per atom
# calculated volume = 61.52 Å³ per cell

=====

# Ta6AlTc2, relaxed, DFT PBE-GGA
data_Ta6AlTc2
_chemical_formula_sum 'Ta12 Al2 Tc4'
_cell_length_a 10.249
_cell_length_b 3.205
_cell_length_c 9.846
_cell_angle_alpha 90.00
_cell_angle_beta 108.55
_cell_angle_gamma 90.00
_symmetry_space_group_name_H-M 'C 1 2/m 1'
_symmetry_Int_Tables_number 12
_symmetry_space_group_name_Hall '-C 2y'
loop_
_atom_site_label
_atom_site_type_symbol
_atom_site_fract_x
_atom_site_fract_y
_atom_site_fract_z
Ta1 Ta 0.006 0.000 0.326
Ta2 Ta 0.169 0.500 0.563
Ta3 Ta 0.178 0.500 0.887
Al1 Al 0.000 0.000 0.000
Tc1 Tc 0.166 0.500 0.223
# total DFT energy (no corrections) = -10.845 eV per atom
# calculated volume = 306.66 Å³ per cell

=====

- Among the records above, which one has the highest calculated volume?
  Ta6AlTc2